An optimized crystal structure of MoI2O, computed with PBE+U.

Unit cell a=7.068 b=7.068 c=7.068 alpha=90.00 beta=90.00 gamma=90.00
Space group Fm-3m (No. 225)
Asymmetric unit:
Mo  0.000  0.000  0.000 [4 per cell]
I  0.250  0.250  0.250 [8 per cell]
O  0.000  0.000  0.500 [4 per cell]

Mass density, Mg/m³: 6.9
Total moment, Bohr magnetons per cell: 8.000
Offset from the most stable computed form, meV per atom: 90